The following is a PBE calculation of crystalline Ca2HfTc at its relaxed geometry, from the Alexandria database.

Results
Total magnetization, μB per atom: 0.00
Energy above the lowest structure with this stoichiometry, meV per atom: 0
N(E_F), states/eV per atom: 0.885

a = 10.768 Å, b = 10.768 Å, c = 7.984 Å
α = 47.59°, β = 47.59°, γ = 90.00°
Sites, in units of the cell vectors:
Ca  0.274  0.625  0.250
Ca  0.875  0.726  0.750
Ca  0.476  0.125  0.250
Ca  0.375  0.524  0.750
Tc  0.250  0.750  0.500
Tc  0.500  0.500  0.000
Hf  0.750  0.250  0.500
Hf  0.000  0.000  0.000